[1]
# AlRe5 | Alexandria via LeMat-Bulk | PBE-GGA | relaxed
data_AlRe5
_space_group_name_H-M_alt 'P 1'
_space_group_IT_number 1
_space_group_name_Hall 'P 1'
_cell_length_a 5.005
_cell_length_b 5.005
_cell_length_c 4.692
_cell_angle_alpha 90.00
_cell_angle_beta 90.00
_cell_angle_gamma 120.00
loop_
_atom_site_label
_atom_site_fract_x
_atom_site_fract_y
_atom_site_fract_z
_atom_site_occupancy
Re1 0.333 0.667 0.000 1
Re2 0.000 0.500 0.500 1
Re3 0.500 0.500 0.500 1
Re4 0.500 0.000 0.500 1
Re5 0.667 0.333 0.000 1
Al1 0.000 0.000 0.000 1
# E_form in eV/atom: 0.503
# M_tot in Bohr magnetons per cell: 0.00
# SG: P6/mmm
# Excess energy over the best structure of this formula in the dataset in meV per atom: 539
# Final energy in eV per cell: -63.0

=====

[2]
# Li3Ac2RhO6 | Alexandria via LeMat-Bulk | PBE-GGA | relaxed
data_Li3Ac2RhO6
_space_group_name_H-M_alt 'P 1'
_space_group_IT_number 1
_space_group_name_Hall 'P 1'
_cell_length_a 6.372
_cell_length_b 6.372
_cell_length_c 5.283
_cell_angle_alpha 96.97
_cell_angle_beta 96.97
_cell_angle_gamma 127.70
loop_
_atom_site_label
_atom_site_fract_x
_atom_site_fract_y
_atom_site_fract_z
_atom_site_occupancy
Li1 0.900 0.100 0.500 1
Li2 0.100 0.900 0.500 1
Li3 0.500 0.500 0.500 1
Ac1 0.665 0.335 0.000 1
Ac2 0.335 0.665 0.000 1
O1 0.748 0.748 0.242 1
O2 0.054 0.332 0.248 1
O3 0.332 0.054 0.248 1
O4 0.252 0.252 0.758 1
O5 0.668 0.946 0.752 1
O6 0.946 0.668 0.752 1
Rh1 0.000 0.000 0.000 1
# M_tot in Bohr magnetons per cell: 0.00
# SG: C2/m
# Formation energy (no corrections) in eV per atom: -2.0971
# Final energy in eV per cell: -76.2

=====

[3]
# Ag2Rh2Se | Alexandria via LeMat-Bulk | PBE-GGA | relaxed
data_Ag2Rh2Se
_space_group_name_H-M_alt 'P 1'
_space_group_IT_number 1
_space_group_name_Hall 'P 1'
_cell_length_a 6.247
_cell_length_b 6.247
_cell_length_c 4.526
_cell_angle_alpha 90.00
_cell_angle_beta 90.00
_cell_angle_gamma 90.00
loop_
_atom_site_label
_atom_site_fract_x
_atom_site_fract_y
_atom_site_fract_z
_atom_site_occupancy
Ag1 0.844 0.344 0.500 1
Ag2 0.656 0.844 0.500 1
Ag3 0.344 0.156 0.500 1
Ag4 0.156 0.656 0.500 1
Se1 0.000 0.000 0.000 1
Se2 0.500 0.500 0.000 1
Rh1 0.154 0.346 0.000 1
Rh2 0.654 0.154 0.000 1
Rh3 0.846 0.654 0.000 1
Rh4 0.346 0.846 0.000 1
# M_tot in Bohr magnetons per cell: 0.00
# SG: P4/mbm
# Formation energy (no corrections) in eV per atom: 0.1097
# Final energy in eV per cell: -46.7

=====

[4]
# ZrInCl2 | Alexandria via LeMat-Bulk | PBE-GGA | relaxed
data_ZrInCl2
_space_group_name_H-M_alt 'P 1'
_space_group_IT_number 1
_space_group_name_Hall 'P 1'
_cell_length_a 4.526
_cell_length_b 4.526
_cell_length_c 9.760
_cell_angle_alpha 76.59
_cell_angle_beta 76.59
_cell_angle_gamma 90.00
loop_
_atom_site_label
_atom_site_fract_x
_atom_site_fract_y
_atom_site_fract_z
_atom_site_occupancy
Cl1 0.375 0.412 0.750 1
Cl2 0.875 0.838 0.750 1
Cl3 0.588 0.125 0.250 1
Cl4 0.162 0.625 0.250 1
In1 0.750 0.250 0.500 1
In2 0.000 0.000 0.000 1
Zr1 0.250 0.750 0.500 1
Zr2 0.500 0.500 0.000 1
# M_tot in Bohr magnetons per cell: 1.43
# SG: I-42d
# Excess energy over the best structure of this formula in the dataset in meV per atom: 505
# Formation energy (no corrections) in eV per atom: -0.5401
# Final energy in eV per cell: -34.3

=====

[5]
# Rb3HfSn2O9 | Alexandria via LeMat-Bulk | PBE-GGA | relaxed
data_Rb3HfSn2O9
_space_group_name_H-M_alt 'P 1'
_space_group_IT_number 1
_space_group_name_Hall 'P 1'
_cell_length_a 5.949
_cell_length_b 5.949
_cell_length_c 7.287
_cell_angle_alpha 90.00
_cell_angle_beta 90.00
_cell_angle_gamma 120.00
loop_
_atom_site_label
_atom_site_fract_x
_atom_site_fract_y
_atom_site_fract_z
_atom_site_occupancy
O1 0.166 0.834 0.334 1
O2 0.332 0.166 0.666 1
O3 0.834 0.166 0.666 1
O4 0.166 0.332 0.334 1
O5 0.834 0.668 0.666 1
O6 0.500 0.000 0.000 1
O7 0.000 0.500 0.000 1
O8 0.668 0.834 0.334 1
O9 0.500 0.500 0.000 1
Rb1 0.000 0.000 0.000 1
Rb2 0.667 0.333 0.332 1
Rb3 0.333 0.667 0.668 1
Hf1 0.000 0.000 0.500 1
Sn1 0.667 0.333 0.830 1
Sn2 0.333 0.667 0.170 1
# M_tot in Bohr magnetons per cell: 3.06
# SG: P-3m1
# Formation energy (no corrections) in eV per atom: -1.6613
# Final energy in eV per cell: -90.4

=====

[6]
# Dy7Al2Sn2 | Alexandria via LeMat-Bulk | PBE-GGA | relaxed
data_Dy7Al2Sn2
_space_group_name_H-M_alt 'P 1'
_space_group_IT_number 1
_space_group_name_Hall 'P 1'
_cell_length_a 6.718
_cell_length_b 7.703
_cell_length_c 6.718
_cell_angle_alpha 90.00
_cell_angle_beta 109.22
_cell_angle_gamma 90.00
loop_
_atom_site_label
_atom_site_fract_x
_atom_site_fract_y
_atom_site_fract_z
_atom_site_occupancy
Dy1 0.500 0.708 0.000 1
Dy2 0.000 0.292 0.500 1
Dy3 0.500 0.292 0.000 1
Dy4 0.000 0.000 0.000 1
Dy5 0.500 0.280 0.500 1
Dy6 0.000 0.708 0.500 1
Dy7 0.500 0.720 0.500 1
Sn1 0.702 0.000 0.298 1
Sn2 0.298 0.000 0.702 1
Al1 0.831 0.500 0.831 1
Al2 0.169 0.500 0.169 1
# E_form in eV/atom: -0.162
# M_tot in Bohr magnetons per cell: 0.00
# SG: Cmmm
# Final energy in eV per cell: -49.5